1.
PBE K4AlTl3O8, optimized geometry; M_tot = 0.0 μB/f.u.; energy relative to the elements, uncorrected = -20.94 eV/f.u.; SG = No. 166; DFT total energy = -4.740 eV per atom
1.0
3.380 1.951 6.162
-3.380 1.951 6.162
0.000 -3.903 6.162
K Al Tl O
4 1 3 8
direct
0.000 0.000 0.000
0.000 0.500 0.500
0.500 0.000 0.500
0.500 0.500 0.000
0.500 0.500 0.500
0.000 0.000 0.500
0.000 0.500 0.000
0.500 0.000 0.000
0.233 0.233 0.233
0.266 0.708 0.708
0.292 0.292 0.734
0.292 0.734 0.292
0.708 0.266 0.708
0.708 0.708 0.266
0.734 0.292 0.292
0.767 0.767 0.767

2.
PBE CdIn2HPb, optimized geometry; distance to the lowest polymorph of the same formula = 14.4 meV/atom; M_tot = 0.0 μB/f.u.; SG = No. 123; DFT total energy = -2.460 eV per atom
1.0
4.878 0.000 0.000
0.000 4.878 0.000
0.000 0.000 4.801
Cd In H Pb
1 2 1 1
direct
0.000 0.000 0.000
0.000 0.500 0.500
0.500 0.000 0.500
0.500 0.500 0.500
0.500 0.500 0.000

3.
PBE Pm3HfIn3Se8, optimized geometry; M_tot = 0.0 μB/f.u.; energy relative to the elements, uncorrected = -19.53 eV/f.u.; SG = No. 166; DFT total energy = -5.322 eV per atom
1.0
4.159 2.401 7.755
-4.159 2.401 7.755
0.000 -4.802 7.755
Pm Hf In Se
3 1 3 8
direct
0.000 0.500 0.500
0.500 0.000 0.500
0.500 0.500 0.000
0.000 0.000 0.000
0.000 0.000 0.500
0.000 0.500 0.000
0.500 0.000 0.000
0.222 0.222 0.760
0.222 0.760 0.222
0.240 0.778 0.778
0.261 0.261 0.261
0.739 0.739 0.739
0.760 0.222 0.222
0.778 0.240 0.778
0.778 0.778 0.240

4.
PBE SbTe2Pb, optimized geometry; M_tot = 0.0 μB/f.u.; energy relative to the elements, uncorrected = -0.32 eV/f.u.; SG = No. 10; DFT total energy = -3.608 eV per atom
1.0
3.217 0.000 0.000
0.000 4.501 0.000
-0.183 0.000 9.146
Sb Te Pb
1 2 1
direct
0.000 0.000 0.000
0.001 0.500 0.760
0.999 0.500 0.240
0.000 0.000 0.500

What did the fourth record say?
PBE SbTe2Pb, optimized geometry; M_tot = 0.0 μB/f.u.; energy relative to the elements, uncorrected = -0.32 eV/f.u.; SG = No. 10; DFT total energy = -3.608 eV per atom
1.0
3.217 0.000 0.000
0.000 4.501 0.000
-0.183 0.000 9.146
Sb Te Pb
1 2 1
direct
0.000 0.000 0.000
0.001 0.500 0.760
0.999 0.500 0.240
0.000 0.000 0.500